Record 1
Material: Np2Ge3Ir4Au
Method: DFT, PBE-GGA
State: optimized geometry

Computed properties:
formation enthalpy at 0 K: -32.47 kJ/mol of atoms
space-group type: P-4m2
total magnetization: 6.89 μB per cell
N(E_F): 1.82 states/eV/atom

Structure (POSCAR):
```
Np2Ge3Ir4Au
1.0
4.029 0.000 0.000
0.000 4.029 0.000
0.000 0.000 11.460
Np Ge Ir Au
2 3 4 1
Cartesian
0.000 2.014 2.786
2.014 0.000 8.674
0.000 0.000 0.000
0.000 2.014 7.134
2.014 0.000 4.326
0.000 0.000 5.730
0.000 2.014 9.527
2.014 0.000 1.933
2.014 2.014 5.730
2.014 2.014 0.000
```



Record 2
Material: LaYSn
Method: DFT, PBE-GGA
State: optimized geometry

Computed properties:
formation enthalpy at 0 K: -62.61 kJ/mol of atoms
space-group type: I4/mmm
total magnetization: 1.46 μB per cell
excess energy over the best structure of this formula in the dataset: 0 kJ/mol of formula units
N(E_F): 1.00 states/eV/atom

Structure (POSCAR):
```
LaYSn
1.0
-2.354 2.354 8.711
2.354 -2.354 8.711
2.354 2.354 -8.711
La Y Sn
2 2 2
Cartesian
0.000 0.000 3.095
0.000 0.000 14.327
2.354 0.000 0.000
0.000 2.354 0.000
0.000 0.000 6.466
0.000 0.000 10.956
```



Record 3
Material: MnBe2Cr
Method: DFT, PBE-GGA
State: optimized geometry

Computed properties:
formation enthalpy at 0 K: 40.12 kJ/mol of atoms
space-group type: I-42d
total magnetization: 1.78 μB per cell
excess energy over the best structure of this formula in the dataset: 189 kJ/mol of formula units
N(E_F): 0.85 states/eV/atom

Structure (POSCAR):
```
MnBe2Cr
1.0
-2.955 2.955 2.285
2.955 -2.955 2.285
2.955 2.955 -2.285
Mn Be Cr
2 4 2
Cartesian
0.000 0.000 0.000
0.000 2.955 1.143
1.478 1.445 -0.571
1.511 -1.478 2.857
1.478 1.511 1.714
1.445 4.433 0.571
2.955 0.000 1.143
0.000 0.000 2.285
```



Record 4
Material: BeIrRh
Method: DFT, PBE-GGA
State: optimized geometry

Computed properties:
formation enthalpy at 0 K: -17.26 kJ/mol of atoms
space-group type: P3m1
total magnetization: 0.00 μB per cell
excess energy over the best structure of this formula in the dataset: 47 kJ/mol of formula units
N(E_F): 1.00 states/eV/atom

Structure (POSCAR):
```
BeIrRh
1.0
2.698 0.000 0.000
-1.349 2.336 0.000
0.000 0.000 5.997
Be Ir Rh
1 1 1
Cartesian
0.000 0.000 0.000
1.349 0.779 1.850
0.000 1.558 4.165
```



Record 5
Material: Ba3MnTc
Method: DFT, PBE-GGA
State: optimized geometry

Computed properties:
formation enthalpy at 0 K: 80.66 kJ/mol of atoms
space-group type: Pm-3m
total magnetization: 4.02 μB per cell
excess energy over the best structure of this formula in the dataset: 0 kJ/mol of formula units
N(E_F): 1.21 states/eV/atom

Structure (POSCAR):
```
Ba3MnTc
1.0
5.880 0.000 0.000
0.000 5.880 0.000
0.000 0.000 5.880
Ba Mn Tc
3 1 1
Cartesian
0.000 0.000 2.940
0.000 2.940 0.000
2.940 0.000 0.000
2.940 2.940 2.940
0.000 0.000 0.000
```



Record 6
Material: BeCoRe2
Method: DFT, PBE-GGA
State: optimized geometry

Computed properties:
formation enthalpy at 0 K: 15.88 kJ/mol of atoms
space-group type: C2/m
total magnetization: 0.46 μB per cell
N(E_F): 0.84 states/eV/atom

Structure (POSCAR):
```
BeCoRe2
1.0
2.546 -3.918 0.000
2.546 3.918 0.000
-0.572 0.000 2.531
Be Co Re
1 1 2
Cartesian
0.000 0.000 0.000
2.546 0.000 0.000
0.987 1.959 1.265
0.987 -1.959 1.265
```



Record 7
Material: AcGaAg2
Method: DFT, PBE-GGA
State: optimized geometry

Computed properties:
formation enthalpy at 0 K: -30.89 kJ/mol of atoms
space-group type: Immm
total magnetization: 0.00 μB per cell
N(E_F): 0.76 states/eV/atom

Structure (POSCAR):
```
AcGaAg2
1.0
-2.373 4.792 8.648
2.373 -4.792 8.648
2.373 4.792 -8.648
Ac Ga Ag
4 4 8
Cartesian
0.000 0.000 3.623
0.000 2.554 0.000
0.000 7.029 0.000
0.000 0.000 13.673
2.373 2.295 -2.633
2.373 2.295 2.633
0.000 2.496 6.015
0.000 2.496 11.281
2.373 0.000 1.331
2.373 -1.417 5.476
0.000 0.000 7.185
2.373 1.417 5.476
0.000 3.374 3.172
0.000 0.000 10.112
0.000 6.209 3.172
0.000 4.792 7.317
```



Record 8
Material: Mg4Al2Cd
Method: DFT, PBE-GGA
State: optimized geometry

Computed properties:
formation enthalpy at 0 K: 8.67 kJ/mol of atoms
space-group type: Fd-3m
total magnetization: 0.00 μB per cell
N(E_F): 0.25 states/eV/atom

Structure (POSCAR):
```
Mg4Al2Cd
1.0
0.000 6.830 6.830
6.830 0.000 6.830
6.830 6.830 0.000
Mg Al Cd
16 8 4
Cartesian
0.000 0.000 0.000
3.415 3.415 0.000
3.415 0.000 3.415
5.122 5.122 1.925
5.122 1.925 5.122
8.320 5.122 5.122
8.537 8.537 5.340
8.537 5.340 8.537
11.735 8.537 8.537
0.000 3.415 3.415
1.925 5.122 5.122
5.122 8.320 5.122
5.122 5.122 8.320
5.340 8.537 8.537
8.537 11.735 8.537
8.537 8.537 11.735
10.879 6.196 6.196
2.781 2.781 2.781
7.464 7.464 2.781
7.464 2.781 7.464
6.196 10.879 6.196
6.196 6.196 10.879
10.879 10.879 10.879
2.781 7.464 7.464
6.830 3.415 3.415
3.415 6.830 3.415
3.415 3.415 6.830
6.830 6.830 6.830
```



Record 9
Material: La2AlTe
Method: DFT, PBE-GGA
State: optimized geometry

Computed properties:
space-group type: I4/mmm
total magnetization: 0.00 μB per cell
excess energy over the best structure of this formula in the dataset: 103 kJ/mol of formula units
N(E_F): 0.92 states/eV/atom

Structure (POSCAR):
```
La2AlTe
1.0
-2.589 2.589 4.345
2.589 -2.589 4.345
2.589 2.589 -4.345
La Al Te
2 1 1
Cartesian
2.589 0.000 2.172
0.000 2.589 2.172
0.000 0.000 0.000
0.000 0.000 4.345
```



Record 10
Material: Zn3BiBr
Method: DFT, PBE-GGA
State: optimized geometry

Computed properties:
space-group type: Pm-3m
total magnetization: 0.00 μB per cell
excess energy over the best structure of this formula in the dataset: 166 kJ/mol of formula units
N(E_F): 0.21 states/eV/atom

Structure (POSCAR):
```
Zn3BiBr
1.0
5.118 0.000 0.000
0.000 5.118 0.000
0.000 0.000 5.118
Zn Bi Br
3 1 1
Cartesian
0.000 0.000 2.559
0.000 2.559 0.000
2.559 0.000 0.000
2.559 2.559 2.559
0.000 0.000 0.000
```



Record 11
Material: TlCdGeO2
Method: DFT, PBE-GGA
State: optimized geometry

Computed properties:
space-group type: P4/mmm
total magnetization: 0.00 μB per cell
E_tot: -3.265 eV per atom
N(E_F): 1.27 states/eV/atom

Structure (POSCAR):
```
TlCdGeO2
1.0
4.212 0.000 0.000
0.000 4.212 0.000
0.000 0.000 5.749
Tl Cd Ge O
1 1 1 2
Cartesian
0.000 0.000 0.000
0.000 0.000 2.875
2.106 2.106 0.000
0.000 2.106 2.875
2.106 0.000 2.875
```



Record 12
Material: AlGaPd
Method: DFT, PBE-GGA
State: optimized geometry

Computed properties:
formation enthalpy at 0 K: -50.18 kJ/mol of atoms
space-group type: F-43m
total magnetization: 0.00 μB per cell
N(E_F): 0.86 states/eV/atom

Structure (POSCAR):
```
AlGaPd
1.0
0.000 2.977 2.977
2.977 0.000 2.977
2.977 2.977 0.000
Al Ga Pd
1 1 1
Cartesian
0.000 0.000 0.000
2.977 2.977 2.977
1.489 1.489 1.489
```



Record 13
Material: PuMgUOs
Method: DFT, PBE-GGA
State: optimized geometry

Computed properties:
formation enthalpy at 0 K: 6.33 kJ/mol of atoms
space-group type: F-43m
total magnetization: 6.30 μB per cell
N(E_F): 2.16 states/eV/atom

Structure (POSCAR):
```
PuMgUOs
1.0
0.000 3.367 3.367
3.367 0.000 3.367
3.367 3.367 0.000
Pu Mg U Os
1 1 1 1
Cartesian
0.000 0.000 0.000
1.684 1.684 1.684
5.051 5.051 5.051
3.367 3.367 3.367
```



Record 14
Material: K2ZrSi
Method: DFT, PBE-GGA
State: optimized geometry

Computed properties:
space-group type: P4mm
total magnetization: 0.86 μB per cell
E_tot: -3.963 eV per atom
N(E_F): 0.58 states/eV/atom

Structure (POSCAR):
```
K2ZrSi
1.0
3.785 0.000 0.000
0.000 3.785 0.000
0.000 0.000 10.672
K Zr Si
2 1 1
Cartesian
0.000 0.000 0.000
1.893 1.893 4.077
1.893 1.893 7.554
0.000 0.000 7.301
```



Record 15
Material: KGeSb2S
Method: DFT, PBE-GGA
State: optimized geometry

Computed properties:
space-group type: P4/mmm
total magnetization: 0.00 μB per cell
E_tot: -3.403 eV per atom
N(E_F): 1.14 states/eV/atom

Structure (POSCAR):
```
KGeSb2S
1.0
5.473 0.000 0.000
0.000 5.473 0.000
0.000 0.000 5.110
K Ge Sb S
1 1 2 1
Cartesian
0.000 0.000 0.000
2.737 2.737 2.555
0.000 2.737 2.555
2.737 0.000 2.555
2.737 2.737 0.000
```



Record 16
Material: SbIrRh
Method: DFT, PBE-GGA
State: optimized geometry

Computed properties:
space-group type: P3m1
total magnetization: 0.00 μB per cell
E_tot: -6.698 eV per atom
N(E_F): 1.02 states/eV/atom

Structure (POSCAR):
```
SbIrRh
1.0
4.363 0.000 0.000
-2.181 3.778 0.000
0.000 0.000 3.089
Sb Ir Rh
1 1 1
Cartesian
0.000 0.000 0.000
2.181 1.259 0.760
0.000 2.519 2.227
```



Record 17
Material: Ti4BeC2
Method: DFT, PBE-GGA
State: optimized geometry

Computed properties:
formation enthalpy at 0 K: 65.48 kJ/mol of atoms
space-group type: I4/mmm
total magnetization: 0.00 μB per cell
excess energy over the best structure of this formula in the dataset: 829 kJ/mol of formula units
N(E_F): 0.68 states/eV/atom

Structure (POSCAR):
```
Ti4BeC2
1.0
-2.026 2.026 5.714
2.026 -2.026 5.714
2.026 2.026 -5.714
Ti Be C
4 1 2
Cartesian
2.026 0.000 0.000
0.000 0.000 2.221
0.000 2.026 0.000
0.000 0.000 9.206
0.000 0.000 0.000
0.000 0.000 4.228
0.000 0.000 7.199
```



Record 18
Material: DyTcP2Ru
Method: DFT, PBE-GGA
State: optimized geometry

Computed properties:
formation enthalpy at 0 K: -95.62 kJ/mol of atoms
space-group type: I-4m2
total magnetization: 0.00 μB per cell
N(E_F): 0.41 states/eV/atom

Structure (POSCAR):
```
DyTcP2Ru
1.0
-2.059 2.059 4.737
2.059 -2.059 4.737
2.059 2.059 -4.737
Dy Tc P Ru
1 1 2 1
Cartesian
0.000 0.000 0.000
0.000 2.059 2.369
0.000 0.000 3.514
0.000 0.000 5.961
2.059 0.000 2.369
```



Record 19
Material: AcTh2Sb3
Method: DFT, PBE-GGA
State: optimized geometry

Computed properties:
space-group type: Immm
total magnetization: 0.00 μB per cell
E_tot: -6.213 eV per atom
N(E_F): 0.57 states/eV/atom

Structure (POSCAR):
```
AcTh2Sb3
1.0
-2.290 3.248 6.911
2.290 -3.248 6.911
2.290 3.248 -6.911
Ac Th Sb
1 2 3
Cartesian
0.000 0.000 0.000
0.000 0.000 4.656
0.000 0.000 9.166
2.290 0.000 2.429
0.000 3.248 0.000
0.000 3.248 4.482
```



Record 20
Material: Si2Sn2Pt
Method: DFT, PBE-GGA
State: optimized geometry

Computed properties:
space-group type: P4/mbm
total magnetization: 0.00 μB per cell
E_tot: -5.058 eV per atom
N(E_F): 0.45 states/eV/atom

Structure (POSCAR):
```
Si2Sn2Pt
1.0
6.264 0.000 0.000
0.000 6.264 0.000
0.000 0.000 5.233
Si Sn Pt
4 4 2
Cartesian
0.839 2.293 0.000
2.293 5.424 0.000
3.971 0.839 0.000
5.424 3.971 0.000
1.121 4.253 2.616
2.011 1.121 2.616
4.253 5.143 2.616
5.143 2.011 2.616
0.000 0.000 0.000
3.132 3.132 0.000
```



Record 21
Material: ScZnInHg
Method: DFT, PBE-GGA
State: optimized geometry

Computed properties:
formation enthalpy at 0 K: -25.26 kJ/mol of atoms
space-group type: Pmmm
total magnetization: 0.00 μB per cell
N(E_F): 0.76 states/eV/atom

Structure (POSCAR):
```
ScZnInHg
1.0
4.266 0.000 0.000
0.000 4.383 0.000
0.000 0.000 4.391
Sc Zn In Hg
1 1 1 1
Cartesian
0.000 0.000 0.000
0.000 2.191 2.195
2.133 0.000 2.195
2.133 2.191 0.000
```



Record 22
Material: SrSiMo2
Method: DFT, PBE-GGA
State: optimized geometry

Computed properties:
space-group type: P4mm
total magnetization: 0.00 μB per cell
E_tot: -6.998 eV per atom
N(E_F): 0.84 states/eV/atom

Structure (POSCAR):
```
SrSiMo2
1.0
3.288 0.000 0.000
0.000 3.288 0.000
0.000 0.000 7.430
Sr Si Mo
1 1 2
Cartesian
0.000 0.000 0.000
1.644 1.644 5.147
0.000 0.000 3.799
1.644 1.644 2.500
```



Record 23
Material: KNbTl2Ir
Method: DFT, PBE-GGA
State: optimized geometry

Computed properties:
formation enthalpy at 0 K: 210.15 kJ/mol of atoms
space-group type: P4/mmm
total magnetization: 0.00 μB per cell
N(E_F): 0.88 states/eV/atom

Structure (POSCAR):
```
KNbTl2Ir
1.0
5.403 0.000 0.000
0.000 5.403 0.000
0.000 0.000 4.735
K Nb Tl Ir
1 1 2 1
Cartesian
0.000 0.000 0.000
2.702 2.702 2.367
0.000 2.702 0.000
2.702 0.000 0.000
0.000 0.000 2.367
```



Record 24
Material: CsMn2Se2
Method: DFT, PBE-GGA
State: optimized geometry

Computed properties:
space-group type: I4/mmm
total magnetization: 3.87 μB per cell
excess energy over the best structure of this formula in the dataset: 0 kJ/mol of formula units
N(E_F): 0.69 states/eV/atom

Structure (POSCAR):
```
CsMn2Se2
1.0
-1.891 1.891 7.857
1.891 -1.891 7.857
1.891 1.891 -7.857
Cs Mn Se
1 2 2
Cartesian
0.000 0.000 0.000
1.891 0.000 3.928
0.000 1.891 3.928
0.000 0.000 5.455
0.000 0.000 10.259
```



Record 25
Material: MgBiF3
Method: DFT, PBE-GGA
State: optimized geometry

Computed properties:
space-group type: Pm-3m
total magnetization: 0.00 μB per cell
excess energy over the best structure of this formula in the dataset: 295 kJ/mol of formula units
N(E_F): 0.02 states/eV/atom

Structure (POSCAR):
```
MgBiF3
1.0
4.693 0.000 0.000
0.000 4.693 0.000
0.000 0.000 4.693
Mg Bi F
1 1 3
Cartesian
0.000 0.000 0.000
2.347 2.347 2.347
0.000 2.347 2.347
2.347 0.000 2.347
2.347 2.347 0.000
```



Record 26
Material: YAg5Cl12
Method: DFT, PBE-GGA
State: optimized geometry

Computed properties:
space-group type: C2/m
total magnetization: 3.65 μB per cell
E_tot: -3.115 eV per atom
N(E_F): 0.88 states/eV/atom

Structure (POSCAR):
```
YAg5Cl12
1.0
3.280 -6.085 0.000
3.280 6.085 0.000
-2.450 0.000 12.487
Y Ag Cl
1 5 12
Cartesian
0.000 0.000 0.000
2.055 4.056 6.243
3.280 1.928 0.000
2.055 0.000 6.243
3.280 -1.928 0.000
2.055 -4.056 6.243
1.184 1.940 1.427
0.055 0.000 4.844
0.776 2.031 7.640
-0.363 0.000 10.882
1.184 -1.940 1.427
3.334 2.031 4.846
0.776 -2.031 7.640
2.926 1.940 11.060
4.473 0.000 1.604
3.334 -2.031 4.846
4.055 0.000 7.643
2.926 -1.940 11.060
```